First-principles (PBE) data for crystalline Ce8FeIr5 at its relaxed geometry, as listed in Alexandria.

Unit cell a=7.479 b=7.479 c=7.479 alpha=109.98 beta=108.45 gamma=109.98
Positions (direct):
Ce (0.122, 0.749, 0.492)
Ce (0.131, 0.739, 0.986)
Ce (0.608, 0.855, 0.869)
Ce (0.627, 0.369, 0.878)
Ce (0.247, 0.261, 0.392)
Ce (0.742, 0.251, 0.373)
Ce (0.508, 0.631, 0.258)
Ce (0.014, 0.145, 0.753)
Ir (0.995, 0.367, 0.124)
Ir (0.372, 0.129, 0.005)
Ir (0.500, 0.000, 0.500)
Ir (0.876, 0.871, 0.243)
Ir (0.757, 0.633, 0.628)
Fe (0.250, 0.500, 0.750)

energy of formation = -8.098 eV/f.u.
V = 321.9 Å³/cell